No. 1
A plane-wave DFT calculation with PBE was carried out for an optimized crystal structure of CsPaAuSe4.

Cell and atoms, written as POSCAR:
```
CsPaAuSe4
1.0
-2.2990 -1.3208 6.8272
-4.3321 -3.3056 -2.0983
6.8069 -7.2327 -2.6593
Cs Pa Au Se
2 2 2 8
direct
0.7700 0.7500 0.9515 Cs
0.2300 0.2500 0.0485 Cs
0.7286 0.7500 0.4505 Pa
0.2714 0.2500 0.5495 Pa
0.2592 0.7500 0.3079 Au
0.7408 0.2500 0.6921 Au
0.0292 0.5128 0.6807 Se
0.9708 0.0128 0.3193 Se
0.9708 0.4872 0.3193 Se
0.0292 0.9872 0.6807 Se
0.4949 0.7500 0.1796 Se
0.5051 0.2500 0.8204 Se
0.4317 0.7500 0.5801 Se
0.5683 0.2500 0.4199 Se
```

## Properties
The calculation puts the formation energy without anion corrections at -0.973 eV per atom. As for the space group: No. 11.



No. 2
A plane-wave DFT calculation with PBE was carried out for an optimized crystal structure of HfTi9Al2.

Cell and atoms, written as POSCAR:
```
HfTi9Al2
1.0
5.5650 0.0000 0.0000
2.7825 4.8194 0.0000
2.7825 1.6065 8.0435
Hf Ti Al
1 9 2
direct
0.0000 0.0000 0.0000 Hf
0.6668 0.6668 0.9995 Ti
0.3332 0.3332 0.0005 Ti
0.5000 0.5000 0.5000 Ti
0.4119 0.4119 0.2524 Ti
0.9237 0.4119 0.2524 Ti
0.4119 0.9237 0.2524 Ti
0.5881 0.5881 0.7476 Ti
0.5881 0.0763 0.7476 Ti
0.0763 0.5881 0.7476 Ti
0.8587 0.8587 0.4239 Al
0.1413 0.1413 0.5761 Al
```

## Properties
For the energy relative to the elements, the calculation gives 0.15 eV per atom. As for the space group: No. 166.



No. 3
A plane-wave DFT calculation with PBE was carried out for an optimized crystal structure of AcMg5Ag3.

Cell and atoms, written as POSCAR:
```
AcMg5Ag3
1.0
4.4273 0.0000 0.0000
-2.2136 7.2275 0.0000
0.0000 0.0000 13.5497
Ac Mg Ag
2 10 6
direct
0.8355 0.6709 0.7500 Ac
0.1645 0.3291 0.2500 Ac
0.8007 0.6015 0.4440 Mg
0.1993 0.3985 0.9440 Mg
0.0000 0.0000 0.5000 Mg
0.0000 0.0000 0.0000 Mg
0.4365 0.8731 0.1435 Mg
0.5635 0.1269 0.8565 Mg
0.5635 0.1269 0.6435 Mg
0.8007 0.6015 0.0560 Mg
0.1993 0.3985 0.5560 Mg
0.4365 0.8731 0.3565 Mg
0.3868 0.7736 0.9403 Ag
0.8649 0.7298 0.2500 Ag
0.3868 0.7736 0.5597 Ag
0.6132 0.2264 0.4403 Ag
0.1351 0.2702 0.7500 Ag
0.6132 0.2264 0.0597 Ag
```

## Properties
For the energy relative to the elements, the calculation gives -0.16 eV per atom. As for the space group: No. 63.



No. 4
A plane-wave DFT calculation with PBE was carried out for an optimized crystal structure of NdSbRhSe.

Cell and atoms, written as POSCAR:
```
NdSbRhSe
1.0
-3.1940 3.4906 0.3322
-3.4668 -3.0764 -1.0067
-0.9600 -1.6826 8.4482
Nd Sb Rh Se
2 2 2 2
direct
0.5000 0.0000 0.6941 Nd
0.0000 0.5000 0.3059 Nd
0.0000 0.5000 0.8603 Sb
0.5000 0.0000 0.1397 Sb
0.5000 0.5000 0.0000 Rh
0.0000 0.0000 0.0000 Rh
0.0000 0.0000 0.5000 Se
0.5000 0.5000 0.5000 Se
```

## Properties
The calculation puts the formation energy without anion corrections at -1.001 eV per atom. As for the space group: No. 129.



| no. | raw total energy (hartree per atom) | N(E_F) (states/eV/cell) |
| --- | --- | --- |
| 1 | -0.1805 | 3.71 |
| 2 | -0.2654 | 16.53 |
| 3 | -0.0903 | 11.58 |
| 4 | -0.2180 | 5.37 |